VASP calculation (PBE) on a relaxed Li3PmU2Te6 crystal.

Unit cell a=7.5383 b=13.0570 c=7.5610 alpha=90.00 beta=109.41 gamma=90.00
Space group C2/m (No. 12)
Asymmetric unit:
Li  0.0000  0.0000  0.0000
Li  0.0000  0.3354  0.0000
Pm  0.0000  0.5000  0.5000
U  0.0000  0.1668  0.5000
Te  0.2441  0.1689  0.2390
Te  0.2495  0.0000  0.7617

Computed properties:
Uncorrected formation energy, kJ/mol of formula units: -1076



VASP calculation (PBE) on a relaxed CuAg2Cl crystal.

Unit cell a=3.3022 b=3.3399 c=6.9313 alpha=90.00 beta=90.00 gamma=90.00
Space group Pmmm (No. 47)
Asymmetric unit:
Cu  0.0000  0.0000  0.0000
Ag  0.5000  0.5000  0.1995
Cl  0.5000  0.0000  0.5000

Computed properties:
Relative energy among the computed polymorphs, meV/atom: 46
Uncorrected formation energy, kJ/mol of formula units: -7



VASP calculation (PBE) on a relaxed Ho4Ni2S crystal.

Unit cell a=13.2472 b=3.6711 c=8.2288 alpha=90.00 beta=127.44 gamma=90.00
Space group C2/m (No. 12)
Asymmetric unit:
Ho  0.0836  0.0000  0.4002
Ho  0.1764  0.5000  0.0786
Ni  0.1136  0.5000  0.6827
S  0.0000  0.0000  0.0000

Computed properties:
Uncorrected formation energy, kJ/mol of formula units: -533



VASP calculation (PBE) on a relaxed Dy2Pu2Sc7 crystal.

Unit cell a=8.9757 b=8.3578 c=8.0163 alpha=90.00 beta=103.13 gamma=90.00
Space group C2/m (No. 12)
Asymmetric unit:
Dy  0.1064  0.0000  0.3713
Pu  0.0000  0.3367  0.0000
Sc  0.0000  0.5000  0.5000
Sc  0.1817  0.0000  0.0239
Sc  0.2037  0.2055  0.7083



VASP calculation (PBE) on a relaxed YTl2Ni2 crystal.

Unit cell a=7.1069 b=7.1069 c=3.9575 alpha=90.00 beta=90.00 gamma=90.00
Space group P4/mbm (No. 127)
Asymmetric unit:
Y  0.0000  0.0000  0.0000
Tl  0.1711  0.3289  0.5000
Ni  0.1207  0.6207  0.0000

Computed properties:
Relative energy among the computed polymorphs, meV/atom: 15



VASP calculation (PBE) on a relaxed SrSb4Br crystal.

Unit cell a=9.0531 b=9.0531 c=9.0531 alpha=90.00 beta=90.00 gamma=90.00
Space group F-43m (No. 216)
Asymmetric unit:
Sr  0.0000  0.0000  0.0000
Sb  0.1184  0.1184  0.3816
Br  0.2500  0.2500  0.7500

Computed properties:
Uncorrected formation energy, kJ/mol of formula units: -209



VASP calculation (PBE) on a relaxed MnFe2Se crystal.

Unit cell a=3.2470 b=4.1279 c=7.9913 alpha=90.00 beta=90.00 gamma=90.00
Space group Imm2 (No. 44)
Asymmetric unit:
Mn  0.0000  0.0000  0.0000
Fe  0.0000  0.0000  0.5022
Fe  0.0000  0.5000  0.2431
Se  0.0000  0.5000  0.7552

Computed properties:
Uncorrected formation energy, kJ/mol of formula units: 78



VASP calculation (PBE) on a relaxed RbCoPb3 crystal.

Unit cell a=5.3280 b=5.3280 c=5.3280 alpha=90.00 beta=90.00 gamma=90.00
Space group Pm-3m (No. 221)
Asymmetric unit:
Rb  0.0000  0.0000  0.0000
Co  0.5000  0.5000  0.5000
Pb  0.0000  0.5000  0.5000



VASP calculation (PBE) on a relaxed CeSm2Ag crystal.

Unit cell a=5.5580 b=5.5580 c=3.5292 alpha=90.00 beta=90.00 gamma=90.00
Space group P4/mmm (No. 123)
Asymmetric unit:
Ce  0.0000  0.0000  0.0000
Sm  0.0000  0.5000  0.5000
Ag  0.5000  0.5000  0.0000

Computed properties:
Relative energy among the computed polymorphs, meV/atom: 86



VASP calculation (PBE) on a relaxed GaHgPb crystal.

Unit cell a=6.9265 b=6.9265 c=6.9265 alpha=90.00 beta=90.00 gamma=90.00
Space group F-43m (No. 216)
Asymmetric unit:
Ga  0.0000  0.0000  0.0000
Hg  0.2500  0.2500  0.2500
Pb  0.2500  0.2500  0.7500

Computed properties:
Relative energy among the computed polymorphs, meV/atom: 56



VASP calculation (PBE) on a relaxed AgIrOs2 crystal.

Unit cell a=2.7427 b=4.7711 c=4.7382 alpha=90.00 beta=90.53 gamma=90.00
Space group P2/m (No. 10)
Asymmetric unit:
Ag  0.0000  0.0000  0.0000
Ir  0.5000  0.0000  0.5000
Os  0.3128  0.5000  0.7521

Computed properties:
Relative energy among the computed polymorphs, meV/atom: 496



VASP calculation (PBE) on a relaxed MnIn2Pb crystal.

Unit cell a=4.5554 b=4.5554 c=9.3767 alpha=90.00 beta=90.00 gamma=90.00
Space group I-4m2 (No. 119)
Asymmetric unit:
Mn  0.0000  0.0000  0.0000
In  0.0000  0.0000  0.5000
In  0.0000  0.5000  0.2500
Pb  0.0000  0.5000  0.7500



VASP calculation (PBE) on a relaxed NdEr5Al3 crystal.

Unit cell a=9.0647 b=9.0647 c=6.6241 alpha=90.00 beta=90.00 gamma=120.00
Space group P6_3/mcm (No. 193)
Asymmetric unit:
Nd  0.0000  0.0000  0.0000
Er  0.0000  0.3322  0.2500
Er  0.3333  0.6667  0.0000
Al  0.0000  0.3398  0.7500



VASP calculation (PBE) on a relaxed CaAcCdRh crystal.

Unit cell a=7.5447 b=7.5447 c=7.5447 alpha=90.00 beta=90.00 gamma=90.00
Space group F-43m (No. 216)
Asymmetric unit:
Ca  0.0000  0.0000  0.0000
Ac  0.0000  0.0000  0.5000
Cd  0.2500  0.2500  0.2500
Rh  0.2500  0.2500  0.7500



VASP calculation (PBE) on a relaxed MgTiAl crystal.

Unit cell a=5.0073 b=8.0817 c=11.4509 alpha=90.00 beta=90.00 gamma=90.00
Space group Fmmm (No. 69)
Asymmetric unit:
Mg  0.0000  0.1740  0.0000
Ti  0.2500  0.2500  0.2500
Al  0.0000  0.0000  0.3824



VASP calculation (PBE) on a relaxed Pm4PrDy3S8 crystal.

Unit cell a=7.9825 b=7.9825 c=19.6439 alpha=90.00 beta=90.00 gamma=120.00
Space group R-3m (No. 166, hexagonal axes)
Asymmetric unit:
Pm  0.0000  0.0000  0.0000
Pm  0.0000  0.5000  0.0000
Pr  0.0000  0.0000  0.5000
Dy  0.0000  0.5000  0.5000
S  0.0000  0.0000  0.2457
S  0.0087  0.5044  0.7523

Computed properties:
Uncorrected formation energy, kJ/mol of formula units: -3102



VASP calculation (PBE) on a relaxed NbCr3Au crystal.

Unit cell a=4.4653 b=4.4653 c=4.4653 alpha=90.00 beta=90.00 gamma=90.00
Space group Pm-3m (No. 221)
Asymmetric unit:
Nb  0.0000  0.0000  0.0000
Cr  0.0000  0.0000  0.5000
Au  0.5000  0.5000  0.5000

Computed properties:
Relative energy among the computed polymorphs, meV/atom: 122



VASP calculation (PBE) on a relaxed NiSb2Rh crystal.

Unit cell a=3.3026 b=3.2851 c=6.5909 alpha=90.00 beta=93.31 gamma=90.00
Space group P2/m (No. 10)
Asymmetric unit:
Ni  0.0000  0.0000  0.0000
Sb  0.4785  0.5000  0.2469
Rh  0.0000  0.0000  0.5000

Computed properties:
Uncorrected formation energy, kJ/mol of formula units: -11



VASP calculation (PBE) on a relaxed Tb8HgPb5 crystal.

Unit cell a=9.3861 b=9.3861 c=9.4517 alpha=90.00 beta=90.00 gamma=90.00
Space group I-4 (No. 82)
Asymmetric unit:
Tb  0.0677  0.1822  0.3020
Tb  0.0733  0.3200  0.9451
Hg  0.0000  0.5000  0.2500
Pb  0.0000  0.0000  0.0000
Pb  0.1245  0.2510  0.6238



VASP calculation (PBE) on a relaxed PmYSnRh crystal.

Unit cell a=7.3178 b=7.3178 c=7.3178 alpha=90.00 beta=90.00 gamma=90.00
Space group F-43m (No. 216)
Asymmetric unit:
Pm  0.0000  0.0000  0.0000
Y  0.0000  0.0000  0.5000
Sn  0.2500  0.2500  0.2500
Rh  0.2500  0.2500  0.7500



Number 1: total energy -5.256 eV/atom. Number 2: total energy -2.929 eV/atom. Number 3: total energy -5.646 eV/atom. Number 4: total energy -7.195 eV/atom. Number 5: total energy -4.553 eV/atom. Number 6: total energy -3.669 eV/atom. Number 7: total energy -7.193 eV/atom. Number 8: total energy -3.640 eV/atom. Number 9: total energy -4.548 eV/atom. Number 10: total energy -2.232 eV/atom. Number 11: total energy -7.772 eV/atom. Number 12: total energy -4.297 eV/atom. Number 13: total energy -4.572 eV/atom. Number 14: total energy -3.916 eV/atom. Number 15: total energy -4.274 eV/atom. Number 16: total energy -6.423 eV/atom. Number 17: total energy -6.697 eV/atom. Number 18: total energy -5.372 eV/atom. Number 19: total energy -4.487 eV/atom. Number 20: total energy -6.264 eV/atom.